(1)
VASP calculation (PBE) on an optimized crystal structure of K3Tl3RhO8.

Calculated values
Energy relative to the elements, uncorrected   -0.997 eV/atom
D(E_F)   7.17 states/eV/f.u.
Magnetic moment   1.073 Bohr magnetons per cell
SG   R-3m
Final energy   -4.8241 eV per atom

abc: 6.836 6.838 7.376
angles: 117.61 90.00 119.99
Positions (direct):
Rh 0.000 0.000 0.500
Tl 0.500 0.000 0.500
Tl 0.000 0.500 0.500
K 0.000 0.500 0.000
O 0.797 0.593 0.325
O 0.796 0.028 0.325
O 0.268 0.536 0.304
K 0.500 0.500 0.000
K 0.000 0.000 0.000
O 0.203 0.407 0.675
O 0.232 0.028 0.325
O 0.732 0.464 0.696
Tl 0.500 0.500 0.500
O 0.204 0.972 0.675
O 0.768 0.972 0.675

***

(2)
VASP calculation (PBE) on an optimized crystal structure of K3TlRh3O8.

Calculated values
Energy relative to the elements, uncorrected   -0.974 eV/atom
D(E_F)   8.89 states/eV/f.u.
Magnetic moment   1.024 Bohr magnetons per cell
SG   R-3m
Final energy   -5.4663 eV per atom

abc: 6.501 6.500 7.038
angles: 117.51 90.00 120.00
Positions (direct):
K 0.000 0.000 0.000
Rh 0.500 0.000 0.500
K 0.500 0.500 0.000
K 0.000 0.500 0.000
O 0.241 0.933 0.675
O 0.241 0.482 0.675
O 0.759 0.067 0.325
O 0.277 0.554 0.331
Tl 0.000 0.000 0.500
O 0.308 0.067 0.325
Rh 0.000 0.500 0.500
O 0.759 0.518 0.325
O 0.692 0.933 0.675
Rh 0.500 0.500 0.500
O 0.723 0.446 0.669